[1]
# Na3Sc2SnS6

A geometry-optimized Na3Sc2SnS6 structure (PBE, Alexandria).

Fermi-level density of states ... 7.3 states/eV/cell
ΔE_f (raw) ... -31.9 kcal/mol of atoms

Geometry as CIF:
```
data_Na3Sc2SnS6
_chemical_formula_sum 'Na6 Sc4 Sn2 S12'
_symmetry_space_group_name_H-M 'C 1 2/m 1'
_symmetry_Int_Tables_number 12
_cell_length_a 6.656
_cell_length_b 11.530
_cell_length_c 6.980
_cell_angle_alpha 90.00
_cell_angle_beta 108.60
_cell_angle_gamma 90.00
loop_
_symmetry_equiv_pos_as_xyz
'x,y,z'
'-x,-y,-z'
'-x,y,-z'
'x,-y,z'
'x+1/2,y+1/2,z'
'-x+1/2,-y+1/2,-z'
'-x+1/2,y+1/2,-z'
'x+1/2,-y+1/2,z'
loop_
_atom_site_label
_atom_site_type_symbol
_atom_site_fract_x
_atom_site_fract_y
_atom_site_fract_z
Na1 Na 0.000 0.000 0.000
Na2 Na 0.000 0.337 0.000
Sc1 Sc 0.000 0.167 0.500
Sn1 Sn 0.000 0.500 0.500
S1 S 0.229 0.000 0.718
S2 S 0.245 0.328 0.718
```

[2]
# SrMg6Ga

A geometry-optimized SrMg6Ga structure (PBE, Alexandria).

Fermi-level density of states ... 7.1 states/eV/cell
Distance to the lowest polymorph of the same formula ... 7 meV per atom
ΔH_f (0 K) ... -0.1 eV/f.u.

Geometry as CIF:
```
data_SrMg6Ga
_chemical_formula_sum 'Sr2 Mg12 Ga2'
_symmetry_space_group_name_H-M 'A m m 2'
_symmetry_Int_Tables_number 38
_cell_length_a 4.806
_cell_length_b 6.236
_cell_length_c 13.694
_cell_angle_alpha 90.00
_cell_angle_beta 90.00
_cell_angle_gamma 90.00
loop_
_symmetry_equiv_pos_as_xyz
'x,y,z'
'-x,-y,z'
'-x,y,z'
'x,-y,z'
'x,y+1/2,z+1/2'
'-x,-y+1/2,z+1/2'
'-x,y+1/2,z+1/2'
'x,-y+1/2,z+1/2'
loop_
_atom_site_label
_atom_site_type_symbol
_atom_site_fract_x
_atom_site_fract_y
_atom_site_fract_z
Sr1 Sr 0.000 0.000 0.000
Mg1 Mg 0.000 0.000 0.577
Mg2 Mg 0.000 0.244 0.281
Mg3 Mg 0.500 0.000 0.416
Mg4 Mg 0.500 0.247 0.150
Ga1 Ga 0.500 0.000 0.834
```

Number 1: total magnetization 0.00 μB/f.u.. Number 2: total magnetization 0.00 μB/f.u..